Crystalline CaCd3Hg6 at its relaxed geometry. Source: Alexandria via LeMat-Bulk, functional PBE.

Cell and atoms, written as POSCAR:
```
CaCd3Hg6
1.0
-0.9218 4.1339 1.5932
-10.4291 -1.9602 -0.9478
0.7156 -8.0385 8.7509
Ca Cd Hg
2 6 12
Direct
0.5000 0.5000 0.5000
0.0000 0.0000 0.0000
0.3452 0.1647 0.8426
0.5000 0.5000 0.0000
0.6548 0.8353 0.1574
0.8452 0.3353 0.3426
0.0000 0.0000 0.5000
0.1548 0.6647 0.6574
0.3520 0.8479 0.8491
0.5248 0.7998 0.5234
0.2118 0.4737 0.2063
0.7882 0.5263 0.7937
0.4752 0.2002 0.4766
0.6480 0.1521 0.1509
0.8520 0.6521 0.3491
0.0248 0.7002 0.0234
0.7118 0.0263 0.7063
0.2882 0.9737 0.2937
0.9752 0.2998 0.9766
0.1480 0.3479 0.6509
```

Calculated values
Its formation energy is -0.121 eV per atom. The energy relative to the lowest polymorph listed for this composition comes out at 0.000 eV/atom.

***

Crystalline H2IBr2 at its relaxed geometry. Source: Alexandria via LeMat-Bulk, functional PBE.

Cell and atoms, written as POSCAR:
```
H2IBr2
1.0
-7.1826 7.6633 3.8012
-7.6948 0.1373 5.4683
2.5896 8.1778 3.4865
H I Br
4 2 4
Direct
0.3185 0.8611 0.2674
0.7190 0.3740 0.5955
0.6815 0.1389 0.7326
0.2810 0.6260 0.4045
0.8093 0.7174 0.2417
0.1907 0.2826 0.7583
0.5605 0.4667 0.2161
0.8374 0.8846 0.6979
0.1626 0.1154 0.3021
0.4395 0.5333 0.7839
```

Calculated values
The energy relative to the lowest polymorph listed for this composition comes out at 0.000 eV/atom.

***

Crystalline GaTcAg2P at its relaxed geometry. Source: Alexandria via LeMat-Bulk, functional PBE.

Cell and atoms, written as POSCAR:
```
GaTcAg2P
1.0
-3.1027 2.5137 3.1212
-2.6268 -3.9335 0.5567
2.8717 -1.3589 3.9490
P Ga Tc Ag
1 1 1 2
Direct
0.5000 0.5000 0.5000
0.0000 0.5000 0.0000
0.0000 0.0000 0.0000
0.0000 0.0000 0.5000
0.5000 0.0000 0.0000
```

Calculated values
Its formation energy is 1.446 eV per atom.

***

Crystalline CePmPu2Se4 at its relaxed geometry. Source: Alexandria via LeMat-Bulk, functional PBE.

Cell and atoms, written as POSCAR:
```
CePmPu2Se4
1.0
4.1475 0.0000 0.0000
0.0000 10.1465 0.5827
0.0000 4.8800 5.3837
Ce Pm Pu Se
1 1 2 4
Direct
0.5000 0.5000 0.0000
0.0000 0.5000 0.5000
0.0000 0.0000 0.0000
0.5000 0.0000 0.5000
0.0000 0.7544 0.5763
0.0000 0.2456 0.4237
0.5000 0.2467 0.9200
0.5000 0.7533 0.0800
```

Calculated values
For the formation energy without anion corrections, the calculation gives -1523 meV/atom.

***

Crystalline TcPdCl2 at its relaxed geometry. Source: Alexandria via LeMat-Bulk, functional PBE.

Cell and atoms, written as POSCAR:
```
TcPdCl2
1.0
-5.0834 6.5780 1.3345
-4.6715 5.5733 4.2435
-2.5754 7.4575 2.9403
Tc Pd Cl
1 1 2
Direct
0.5000 0.5000 0.5000
0.0000 0.0000 0.0000
0.9033 0.9033 0.9033
0.0967 0.0967 0.0967
```

Calculated values
The energy relative to the lowest polymorph listed for this composition comes out at 0.000 eV/atom. For the formation energy without anion corrections, the calculation gives 201 meV/atom.

***

Crystalline La5Sm12Mg2 at its relaxed geometry. Source: Alexandria via LeMat-Bulk, functional PBE.

Cell and atoms, written as POSCAR:
```
La5Sm12Mg2
1.0
9.3323 0.0000 0.0000
-4.6661 7.8703 1.0462
0.0000 -1.6097 8.5668
La Sm Mg
5 12 2
Direct
0.2314 0.4628 0.5702
0.2914 0.5828 0.9716
0.0000 0.0000 0.5000
0.7086 0.4172 0.0284
0.7686 0.5372 0.4298
0.9276 0.8551 0.1198
0.0404 0.7160 0.7616
0.6756 0.7160 0.7616
0.1789 0.7432 0.3161
0.5643 0.7432 0.3161
0.4440 0.8880 0.6602
0.5560 0.1120 0.3398
0.8211 0.2568 0.6839
0.4357 0.2568 0.6839
0.9596 0.2840 0.2384
0.3244 0.2840 0.2384
0.0724 0.1449 0.8802
0.6633 0.0000 0.0000
0.3367 0.0000 0.0000
```

Calculated values
Its formation energy is 0.078 eV per atom.

***

Crystalline Tb2CdGeO6 at its relaxed geometry. Source: Alexandria via LeMat-Bulk, functional PBE.

Cell and atoms, written as POSCAR:
```
Tb2CdGeO6
1.0
-0.5251 0.8987 -5.0153
-0.8173 -5.1597 -0.8390
-5.1993 0.7142 0.6723
Tb Cd Ge O
2 1 1 6
Direct
0.9886 0.5000 0.0000
0.9886 0.0000 0.5000
0.5333 0.5000 0.5000
0.6041 0.0000 0.0000
0.7393 0.2326 0.2326
0.7393 0.2326 0.7674
0.1221 0.5000 0.5000
0.2528 0.0000 0.0000
0.7393 0.7674 0.7674
0.7393 0.7674 0.2326
```

Calculated values
For the formation energy without anion corrections, the calculation gives -2321 meV/atom.

***

Crystalline Cd3SbPd12 at its relaxed geometry. Source: Alexandria via LeMat-Bulk, functional PBE.

Cell and atoms, written as POSCAR:
```
Cd3SbPd12
1.0
-0.7379 1.9445 -3.4767
-0.0605 -3.5410 -1.9675
-15.7385 -1.2108 2.6632
Cd Sb Pd
3 1 12
Direct
0.0000 0.0000 0.2509
0.0000 0.0000 0.5000
0.0000 0.0000 0.7491
0.0000 0.0000 0.0000
0.5000 0.5000 0.0000
0.5000 0.5000 0.2494
0.5000 0.5000 0.5000
0.5000 0.5000 0.7506
0.5000 0.0000 0.1234
0.5000 0.0000 0.3755
0.5000 0.0000 0.6245
0.5000 0.0000 0.8766
0.0000 0.5000 0.1234
0.0000 0.5000 0.3755
0.0000 0.5000 0.6245
0.0000 0.5000 0.8766
```

Calculated values
For the formation energy without anion corrections, the calculation gives -288 meV/atom.

***

Crystalline PmSm2Sb at its relaxed geometry. Source: Alexandria via LeMat-Bulk, functional PBE.

Cell and atoms, written as POSCAR:
```
PmSm2Sb
1.0
5.4884 0.0000 0.0000
2.7442 4.7531 0.0000
2.7442 1.5844 4.4814
Sb Sm Pm
1 2 1
Direct
0.0000 0.0000 0.0000
0.7500 0.7500 0.7498
0.2500 0.2500 0.2502
0.5000 0.5000 0.5000
```

Calculated values
The energy relative to the lowest polymorph listed for this composition comes out at 0.266 eV/atom. For the formation energy without anion corrections, the calculation gives -309 meV/atom.

***

Crystalline Tb2EuTm at its relaxed geometry. Source: Alexandria via LeMat-Bulk, functional PBE.

Cell and atoms, written as POSCAR:
```
Tb2EuTm
1.0
-2.9987 1.2609 1.9627
-3.5732 -1.6525 -4.3977
-0.6058 -5.3169 2.4902
Eu Tm Tb
1 1 2
Direct
0.5000 0.5000 0.5000
0.5000 0.0000 0.0000
0.0000 0.0000 0.5000
0.0000 0.5000 0.0000
```

Calculated values
Its formation energy is 0.155 eV per atom. The energy relative to the lowest polymorph listed for this composition comes out at 0.100 eV/atom.

***

Crystalline Pm2NdPa at its relaxed geometry. Source: Alexandria via LeMat-Bulk, functional PBE.

Cell and atoms, written as POSCAR:
```
Pm2NdPa
1.0
5.0238 0.0000 0.0000
0.0000 5.0212 0.0000
0.0000 0.0000 5.0212
Pa Nd Pm
1 1 2
Direct
0.5000 0.5000 0.5000
0.5000 0.0000 0.0000
0.0000 0.0000 0.5000
0.0000 0.5000 0.0000
```

Calculated values
Its formation energy is 0.274 eV per atom. The energy relative to the lowest polymorph listed for this composition comes out at 0.124 eV/atom.

***

Crystalline TiGaNiPt at its relaxed geometry. Source: Alexandria via LeMat-Bulk, functional PBE.

Cell and atoms, written as POSCAR:
```
TiGaNiPt
1.0
-0.8828 0.8597 -3.7998
-3.8515 0.3929 0.9837
2.8892 2.8360 2.0700
Ti Ga Ni Pt
1 1 1 1
Direct
0.7500 0.2500 0.5000
0.2500 0.7500 0.5000
0.0000 0.0000 0.0000
0.5000 0.5000 0.0000
```

Calculated values
Its formation energy is -0.678 eV per atom. The energy relative to the lowest polymorph listed for this composition comes out at 0.000 eV/atom.

***

| no. | magnetization (μB/cell) |
| --- | --- |
| 1 | 0.000 |
| 2 | 0.000 |
| 3 | 2.438 |
| 4 | 1.156 |
| 5 | 0.000 |
| 6 | 0.000 |
| 7 | 0.000 |
| 8 | 0.001 |
| 9 | 0.000 |
| 10 | 7.932 |
| 11 | 0.002 |
| 12 | 0.901 |